Compound: CsHoAgSe3
Source: Alexandria
Functional: PBE
Structure: relaxed

```
data_CsHoAgSe3
_cell_length_a 4.1514
_cell_length_b 16.6487
_cell_length_c 10.8065
_cell_angle_alpha 90.00
_cell_angle_beta 90.00
_cell_angle_gamma 90.00
_symmetry_space_group_name_H-M 'C m c m'
_symmetry_Int_Tables_number 63
_symmetry_space_group_name_Hall '-C 2c 2'
loop_
_atom_site_label
_atom_site_type_symbol
_atom_site_fract_x
_atom_site_fract_y
_atom_site_fract_z
Cs1 Cs 0.0000 0.2492 0.2500
Ho1 Ho 0.0000 0.5000 0.0000
Ag1 Ag 0.0000 0.0346 0.7500
Se1 Se 0.0000 0.1168 0.5447
Se2 Se 0.0000 0.4349 0.7500
```

## Properties
VASP energy = -4.256 eV per atom
crystal system = orthorhombic
formation energy without anion corrections = -1.1335 eV/atom

Compound: K3FeSn
Source: Alexandria
Functional: PBE
Structure: relaxed

```
data_K3FeSn
_cell_length_a 5.9934
_cell_length_b 5.9934
_cell_length_c 5.9934
_cell_angle_alpha 90.00
_cell_angle_beta 90.00
_cell_angle_gamma 90.00
_symmetry_space_group_name_H-M 'P m -3 m'
_symmetry_Int_Tables_number 221
_symmetry_space_group_name_Hall '-P 4 2 3'
loop_
_atom_site_label
_atom_site_type_symbol
_atom_site_fract_x
_atom_site_fract_y
_atom_site_fract_z
K1 K 0.0000 0.0000 0.5000
Fe1 Fe 0.0000 0.0000 0.0000
Sn1 Sn 0.5000 0.5000 0.5000
```

## Properties
VASP energy = -2.268 eV per atom
crystal system = cubic
energy of formation from the pure elements = 0.8838 eV per atom

Compound: La2NdTh3
Source: Alexandria
Functional: PBE
Structure: relaxed

```
data_La2NdTh3
_cell_length_a 10.3876
_cell_length_b 11.5823
_cell_length_c 6.8306
_cell_angle_alpha 90.00
_cell_angle_beta 90.00
_cell_angle_gamma 90.00
_symmetry_space_group_name_H-M 'C m c m'
_symmetry_Int_Tables_number 63
_symmetry_space_group_name_Hall '-C 2c 2'
loop_
_atom_site_label
_atom_site_type_symbol
_atom_site_fract_x
_atom_site_fract_y
_atom_site_fract_z
La1 La 0.1671 0.2303 0.2500
Nd1 Nd 0.0000 0.2705 0.7500
Th1 Th 0.0000 0.0000 0.0000
Th2 Th 0.1671 0.5000 0.0000
```

## Properties
VASP energy = -5.953 eV per atom
crystal system = orthorhombic
energy of formation from the pure elements = 0.1939 eV per atom

Compound: SrLiLaSi
Source: Alexandria
Functional: PBE
Structure: relaxed

```
data_SrLiLaSi
_cell_length_a 7.5785
_cell_length_b 7.5785
_cell_length_c 7.5785
_cell_angle_alpha 90.00
_cell_angle_beta 90.00
_cell_angle_gamma 90.00
_symmetry_space_group_name_H-M 'F -4 3 m'
_symmetry_Int_Tables_number 216
_symmetry_space_group_name_Hall 'F -4 2 3'
loop_
_atom_site_label
_atom_site_type_symbol
_atom_site_fract_x
_atom_site_fract_y
_atom_site_fract_z
Sr1 Sr 0.0000 0.0000 0.0000
Li1 Li 0.2500 0.2500 0.7500
La1 La 0.0000 0.0000 0.5000
Si1 Si 0.2500 0.2500 0.2500
```

## Properties
VASP energy = -3.715 eV per atom
crystal system = cubic
formation energy without anion corrections = -0.2289 eV/atom

Compound: CaGa2Te
Source: Alexandria
Functional: PBE
Structure: relaxed

```
data_CaGa2Te
_cell_length_a 8.3203
_cell_length_b 8.3203
_cell_length_c 6.2199
_cell_angle_alpha 90.00
_cell_angle_beta 90.00
_cell_angle_gamma 90.00
_symmetry_space_group_name_H-M 'I -4 2 d'
_symmetry_Int_Tables_number 122
_symmetry_space_group_name_Hall 'I -4 2bw'
loop_
_atom_site_label
_atom_site_type_symbol
_atom_site_fract_x
_atom_site_fract_y
_atom_site_fract_z
Ca1 Ca 0.0000 0.0000 0.0000
Ga1 Ga 0.2320 0.7500 0.6250
Te1 Te 0.0000 0.0000 0.5000
```

## Properties
VASP energy = -3.167 eV per atom
crystal system = tetragonal
formation energy without anion corrections = -0.3673 eV/atom

Compound: Sc2AgW
Source: Alexandria
Functional: PBE
Structure: relaxed

```
data_Sc2AgW
_cell_length_a 2.9689
_cell_length_b 4.5034
_cell_length_c 5.8281
_cell_angle_alpha 90.00
_cell_angle_beta 90.00
_cell_angle_gamma 90.00
_symmetry_space_group_name_H-M 'P m m 2'
_symmetry_Int_Tables_number 25
_symmetry_space_group_name_Hall 'P 2 -2'
loop_
_atom_site_label
_atom_site_type_symbol
_atom_site_fract_x
_atom_site_fract_y
_atom_site_fract_z
Sc1 Sc 0.0000 0.0000 0.0000
Sc2 Sc 0.5000 0.5000 0.3101
Ag1 Ag 0.5000 0.5000 0.7903
W1 W 0.0000 0.0000 0.4909
```

## Properties
VASP energy = -6.850 eV per atom
distance to the lowest polymorph of the same formula = 0.86 eV per formula unit
crystal system = orthorhombic
energy of formation from the pure elements = 0.2671 eV per atom

Compound: Sc6GeS4
Source: Alexandria
Functional: PBE
Structure: relaxed

```
data_Sc6GeS4
_cell_length_a 3.7228
_cell_length_b 12.0782
_cell_length_c 18.4611
_cell_angle_alpha 90.00
_cell_angle_beta 90.00
_cell_angle_gamma 90.00
_symmetry_space_group_name_H-M 'C m c m'
_symmetry_Int_Tables_number 63
_symmetry_space_group_name_Hall '-C 2c 2'
loop_
_atom_site_label
_atom_site_type_symbol
_atom_site_fract_x
_atom_site_fract_y
_atom_site_fract_z
Sc1 Sc 0.0000 0.0000 0.0000
Sc2 Sc 0.0000 0.1697 0.2500
Sc3 Sc 0.0000 0.2733 0.5860
Sc4 Sc 0.0000 0.4524 0.1650
Ge1 Ge 0.0000 0.1664 0.7500
S1 S 0.0000 0.0899 0.1253
S2 S 0.0000 0.3617 0.0414
```

## Properties
VASP energy = -6.937 eV per atom
crystal system = orthorhombic
formation energy without anion corrections = -1.5624 eV/atom

Compound: Co2ReRu
Source: Alexandria
Functional: PBE
Structure: relaxed

```
data_Co2ReRu
_cell_length_a 5.8834
_cell_length_b 5.8834
_cell_length_c 5.8834
_cell_angle_alpha 90.00
_cell_angle_beta 90.00
_cell_angle_gamma 90.00
_symmetry_space_group_name_H-M 'F m -3 m'
_symmetry_Int_Tables_number 225
_symmetry_space_group_name_Hall '-F 4 2 3'
loop_
_atom_site_label
_atom_site_type_symbol
_atom_site_fract_x
_atom_site_fract_y
_atom_site_fract_z
Co1 Co 0.2500 0.2500 0.2500
Re1 Re 0.0000 0.0000 0.0000
Ru1 Ru 0.0000 0.0000 0.5000
```

## Properties
VASP energy = -8.669 eV per atom
distance to the lowest polymorph of the same formula = 1.05 eV per formula unit
crystal system = cubic
energy of formation from the pure elements = 0.3151 eV per atom

Compound: HfTiSn
Source: Alexandria
Functional: PBE
Structure: relaxed

```
data_HfTiSn
_cell_length_a 5.0882
_cell_length_b 9.3763
_cell_length_c 5.0897
_cell_angle_alpha 90.00
_cell_angle_beta 90.00
_cell_angle_gamma 90.00
_symmetry_space_group_name_H-M 'C m c m'
_symmetry_Int_Tables_number 63
_symmetry_space_group_name_Hall '-C 2c 2'
loop_
_atom_site_label
_atom_site_type_symbol
_atom_site_fract_x
_atom_site_fract_y
_atom_site_fract_z
Hf1 Hf 0.0000 0.0855 0.2500
Ti1 Ti 0.0000 0.4195 0.2500
Sn1 Sn 0.0000 0.2520 0.7500
```

## Properties
VASP energy = -7.561 eV per atom
crystal system = orthorhombic
energy of formation from the pure elements = -0.2768 eV per atom

Compound: PmSnSbPd
Source: Alexandria
Functional: PBE
Structure: relaxed

```
data_PmSnSbPd
_cell_length_a 7.3489
_cell_length_b 7.3489
_cell_length_c 7.3489
_cell_angle_alpha 90.00
_cell_angle_beta 90.00
_cell_angle_gamma 90.00
_symmetry_space_group_name_H-M 'F -4 3 m'
_symmetry_Int_Tables_number 216
_symmetry_space_group_name_Hall 'F -4 2 3'
loop_
_atom_site_label
_atom_site_type_symbol
_atom_site_fract_x
_atom_site_fract_y
_atom_site_fract_z
Pm1 Pm 0.0000 0.0000 0.0000
Sn1 Sn 0.0000 0.0000 0.5000
Sb1 Sb 0.2500 0.2500 0.2500
Pd1 Pd 0.2500 0.2500 0.7500
```

## Properties
VASP energy = -4.980 eV per atom
crystal system = cubic
formation energy without anion corrections = -0.4624 eV/atom

Compound: CeScCoTc
Source: Alexandria
Functional: PBE
Structure: relaxed

```
data_CeScCoTc
_cell_length_a 6.5889
_cell_length_b 6.5889
_cell_length_c 6.5889
_cell_angle_alpha 90.00
_cell_angle_beta 90.00
_cell_angle_gamma 90.00
_symmetry_space_group_name_H-M 'F -4 3 m'
_symmetry_Int_Tables_number 216
_symmetry_space_group_name_Hall 'F -4 2 3'
loop_
_atom_site_label
_atom_site_type_symbol
_atom_site_fract_x
_atom_site_fract_y
_atom_site_fract_z
Ce1 Ce 0.0000 0.0000 0.0000
Sc1 Sc 0.0000 0.0000 0.5000
Co1 Co 0.2500 0.2500 0.7500
Tc1 Tc 0.2500 0.2500 0.2500
```

## Properties
VASP energy = -7.607 eV per atom
crystal system = cubic
energy of formation from the pure elements = -0.1722 eV per atom

Compound: MgAlGa2
Source: Alexandria
Functional: PBE
Structure: relaxed

```
data_MgAlGa2
_cell_length_a 3.0351
_cell_length_b 3.0351
_cell_length_c 7.9221
_cell_angle_alpha 90.00
_cell_angle_beta 90.00
_cell_angle_gamma 90.00
_symmetry_space_group_name_H-M 'P 4/m m m'
_symmetry_Int_Tables_number 123
_symmetry_space_group_name_Hall '-P 4 2'
loop_
_atom_site_label
_atom_site_type_symbol
_atom_site_fract_x
_atom_site_fract_y
_atom_site_fract_z
Mg1 Mg 0.0000 0.0000 0.0000
Al1 Al 0.0000 0.0000 0.5000
Ga1 Ga 0.5000 0.5000 0.2637
```

## Properties
VASP energy = -2.882 eV per atom
crystal system = tetragonal
energy of formation from the pure elements = -0.0344 eV per atom

Compound: Ho4Co3Pd
Source: Alexandria
Functional: PBE
Structure: relaxed

```
data_Ho4Co3Pd
_cell_length_a 3.9310
_cell_length_b 3.9459
_cell_length_c 10.4721
_cell_angle_alpha 90.00
_cell_angle_beta 90.00
_cell_angle_gamma 90.00
_symmetry_space_group_name_H-M 'P m m 2'
_symmetry_Int_Tables_number 25
_symmetry_space_group_name_Hall 'P 2 -2'
loop_
_atom_site_label
_atom_site_type_symbol
_atom_site_fract_x
_atom_site_fract_y
_atom_site_fract_z
Ho1 Ho 0.0000 0.0000 0.0000
Ho2 Ho 0.0000 0.5000 0.2787
Ho3 Ho 0.5000 0.0000 0.4851
Ho4 Ho 0.5000 0.5000 0.7808
Co1 Co 0.0000 0.5000 0.5510
Co2 Co 0.5000 0.0000 0.1907
Co3 Co 0.5000 0.5000 0.0770
Pd1 Pd 0.0000 0.0000 0.7106
```

## Properties
VASP energy = -5.965 eV per atom
crystal system = orthorhombic
energy of formation from the pure elements = -0.3626 eV per atom

Compound: LiPu2MoN5
Source: Alexandria
Functional: PBE
Structure: relaxed

```
data_LiPu2MoN5
_cell_length_a 3.1912
_cell_length_b 12.9214
_cell_length_c 9.8415
_cell_angle_alpha 90.00
_cell_angle_beta 90.00
_cell_angle_gamma 90.00
_symmetry_space_group_name_H-M 'C m c 21'
_symmetry_Int_Tables_number 36
_symmetry_space_group_name_Hall 'C 2c -2'
loop_
_atom_site_label
_atom_site_type_symbol
_atom_site_fract_x
_atom_site_fract_y
_atom_site_fract_z
Li1 Li 0.0000 0.0216 0.0000
Pu1 Pu 0.0000 0.3623 0.8451
Pu2 Pu 0.0000 0.3892 0.2201
Mo1 Mo 0.0000 0.3082 0.5476
N1 N 0.0000 0.0095 0.3038
N2 N 0.0000 0.1407 0.5414
N3 N 0.0000 0.1878 0.9032
N4 N 0.0000 0.2133 0.1978
N5 N 0.0000 0.4443 0.6014
```

## Properties
VASP energy = -9.937 eV per atom
crystal system = orthorhombic
formation energy without anion corrections = -0.7110 eV/atom

Compound: Nd6Dy2Ho3
Source: Alexandria
Functional: PBE
Structure: relaxed

```
data_Nd6Dy2Ho3
_cell_length_a 3.5593
_cell_length_b 3.5593
_cell_length_c 101.6621
_cell_angle_alpha 90.00
_cell_angle_beta 90.00
_cell_angle_gamma 120.00
_symmetry_space_group_name_H-M 'R -3 m'
_symmetry_Int_Tables_number 166
_symmetry_space_group_name_Hall '-R 3 2"'
loop_
_atom_site_label
_atom_site_type_symbol
_atom_site_fract_x
_atom_site_fract_y
_atom_site_fract_z
Nd1 Nd 0.0000 0.0000 0.1817
Nd2 Nd 0.0000 0.0000 0.2710
Nd3 Nd 0.0000 0.0000 0.3048
Dy1 Dy 0.0000 0.0000 0.2380
Ho1 Ho 0.0000 0.0000 0.0000
Ho2 Ho 0.0000 0.0000 0.4559
```

## Properties
VASP energy = -4.569 eV per atom
distance to the lowest polymorph of the same formula = 0.00 eV per formula unit
crystal system = trigonal
energy of formation from the pure elements = 0.1173 eV per atom

Compound: Zr12ScTl3
Source: Alexandria
Functional: PBE
Structure: relaxed

```
data_Zr12ScTl3
_cell_length_a 4.4942
_cell_length_b 4.4942
_cell_length_c 18.0684
_cell_angle_alpha 90.00
_cell_angle_beta 90.00
_cell_angle_gamma 90.00
_symmetry_space_group_name_H-M 'P 4/m m m'
_symmetry_Int_Tables_number 123
_symmetry_space_group_name_Hall '-P 4 2'
loop_
_atom_site_label
_atom_site_type_symbol
_atom_site_fract_x
_atom_site_fract_y
_atom_site_fract_z
Zr1 Zr 0.0000 0.0000 0.0000
Zr2 Zr 0.0000 0.0000 0.2466
Zr3 Zr 0.0000 0.0000 0.5000
Zr4 Zr 0.0000 0.5000 0.1237
Zr5 Zr 0.0000 0.5000 0.3745
Sc1 Sc 0.5000 0.5000 0.5000
Tl1 Tl 0.5000 0.5000 0.0000
Tl2 Tl 0.5000 0.5000 0.2485
```

## Properties
VASP energy = -7.324 eV per atom
crystal system = tetragonal
energy of formation from the pure elements = -0.0738 eV per atom

Compound: TaTi4Sb
Source: Alexandria
Functional: PBE
Structure: relaxed

```
data_TaTi4Sb
_cell_length_a 4.4069
_cell_length_b 4.4069
_cell_length_c 6.6016
_cell_angle_alpha 90.00
_cell_angle_beta 90.00
_cell_angle_gamma 90.00
_symmetry_space_group_name_H-M 'P 4/m m m'
_symmetry_Int_Tables_number 123
_symmetry_space_group_name_Hall '-P 4 2'
loop_
_atom_site_label
_atom_site_type_symbol
_atom_site_fract_x
_atom_site_fract_y
_atom_site_fract_z
Ta1 Ta 0.0000 0.0000 0.0000
Ti1 Ti 0.0000 0.5000 0.2268
Sb1 Sb 0.5000 0.5000 0.5000
```

## Properties
VASP energy = -7.624 eV per atom
crystal system = tetragonal
formation energy without anion corrections = 0.3016 eV/atom

Compound: TeIrF
Source: Alexandria
Functional: PBE
Structure: relaxed

```
data_TeIrF
_cell_length_a 2.9688
_cell_length_b 3.6553
_cell_length_c 10.4139
_cell_angle_alpha 90.00
_cell_angle_beta 90.00
_cell_angle_gamma 90.00
_symmetry_space_group_name_H-M 'I m m 2'
_symmetry_Int_Tables_number 44
_symmetry_space_group_name_Hall 'I 2 -2'
loop_
_atom_site_label
_atom_site_type_symbol
_atom_site_fract_x
_atom_site_fract_y
_atom_site_fract_z
Te1 Te 0.0000 0.0000 0.0000
Ir1 Ir 0.0000 0.5000 0.8381
F1 F 0.0000 0.0000 0.7055
```

## Properties
VASP energy = -5.068 eV per atom
distance to the lowest polymorph of the same formula = 0.60 eV per formula unit
crystal system = orthorhombic
formation energy without anion corrections = -0.4436 eV/atom

Compound: Tm5ZrSb4
Source: Alexandria
Functional: PBE
Structure: relaxed

```
data_Tm5ZrSb4
_cell_length_a 18.2117
_cell_length_b 4.1922
_cell_length_c 8.1647
_cell_angle_alpha 90.00
_cell_angle_beta 105.92
_cell_angle_gamma 90.00
_symmetry_space_group_name_H-M 'C 1 2/m 1'
_symmetry_Int_Tables_number 12
_symmetry_space_group_name_Hall '-C 2y'
loop_
_atom_site_label
_atom_site_type_symbol
_atom_site_fract_x
_atom_site_fract_y
_atom_site_fract_z
Tm1 Tm 0.0000 0.0000 0.0000
Tm2 Tm 0.1642 0.5000 0.3070
Tm3 Tm 0.1813 0.5000 0.8517
Zr1 Zr 0.0000 0.0000 0.5000
Sb1 Sb 0.0091 0.5000 0.7523
Sb2 Sb 0.1659 0.0000 0.5760
```

## Properties
VASP energy = -5.332 eV per atom
crystal system = monoclinic
formation energy without anion corrections = -0.5920 eV/atom

Compound: FeAgI4
Source: Alexandria
Functional: PBE
Structure: relaxed

```
data_FeAgI4
_cell_length_a 6.5805
_cell_length_b 6.5805
_cell_length_c 11.8730
_cell_angle_alpha 90.00
_cell_angle_beta 90.00
_cell_angle_gamma 90.00
_symmetry_space_group_name_H-M 'P -4 2 c'
_symmetry_Int_Tables_number 112
_symmetry_space_group_name_Hall 'P -4 2c'
loop_
_atom_site_label
_atom_site_type_symbol
_atom_site_fract_x
_atom_site_fract_y
_atom_site_fract_z
Fe1 Fe 0.0000 0.5000 0.2500
Ag1 Ag 0.0000 0.0000 0.0000
I1 I 0.2357 0.2788 0.3709
```

## Properties
VASP energy = -3.128 eV per atom
crystal system = tetragonal
formation energy without anion corrections = -0.2089 eV/atom

| no. | total magnetic moment (Bohr magnetons per cell) | mass density (g/cm3) |
| --- | --- | --- |
| 1 | 0.0 | 5.7 |
| 2 | 2.9 | 2.3 |
| 3 | 0.0 | 9.0 |
| 4 | 0.0 | 4.0 |
| 5 | 0.0 | 4.7 |
| 6 | 0.0 | 8.1 |
| 7 | 0.0 | 3.8 |
| 8 | 12.3 | 13.2 |
| 9 | 0.0 | 9.4 |
| 10 | 0.0 | 8.2 |
| 11 | 0.0 | 7.9 |
| 12 | 0.0 | 4.3 |
| 13 | 0.8 | 9.6 |
| 14 | 28.6 | 10.8 |
| 15 | 0.0 | 7.5 |
| 16 | 0.0 | 8.0 |
| 17 | 0.0 | 6.4 |
| 18 | 0.0 | 10.0 |
| 19 | 0.0 | 7.9 |
| 20 | 10.0 | 4.3 |